Record 1
Ce2DyS5 | PBE | optimized geometry

POSCAR file:
```
Ce2DyS5
1.0
-0.662 -2.646 6.896
1.963 -7.382 -2.644
11.449 2.331 1.993
Dy S Ce
4 20 8
direct
0.425 0.250 0.508
0.075 0.250 0.008
0.925 0.750 0.992
0.575 0.750 0.492
0.674 0.250 0.686
0.661 0.460 0.398
0.826 0.250 0.186
0.174 0.750 0.814
0.962 0.750 0.497
0.038 0.250 0.503
0.702 0.750 0.713
0.798 0.750 0.213
0.339 0.960 0.602
0.839 0.040 0.898
0.298 0.250 0.287
0.661 0.040 0.398
0.339 0.540 0.602
0.326 0.750 0.314
0.839 0.460 0.898
0.161 0.960 0.102
0.538 0.750 0.997
0.462 0.250 0.003
0.161 0.540 0.102
0.202 0.250 0.787
0.015 0.500 0.321
0.485 0.500 0.821
0.485 0.000 0.821
0.515 0.000 0.179
0.515 0.500 0.179
0.985 0.500 0.679
0.985 0.000 0.679
0.015 0.000 0.321
```

calculated total energy	-6.60	eV per atom
SG	Pnma
formation energy from raw total energies	-1.959	eV/atom

***

Record 2
Ce4DyS5 | PBE | optimized geometry

POSCAR file:
```
Ce4DyS5
1.0
-3.093 -2.354 -4.104
-0.679 -6.864 0.556
-6.762 -0.379 1.422
S Ce Dy
5 4 1
direct
0.501 0.000 0.000
0.295 0.805 0.607
0.707 0.195 0.393
0.902 0.393 0.805
0.100 0.607 0.195
0.802 0.798 0.600
0.200 0.202 0.400
0.402 0.400 0.798
0.600 0.600 0.202
0.001 0.000 0.000
```

calculated total energy	-6.93	eV per atom
SG	I4/m
formation energy from raw total energies	-2.037	eV/atom

***

Record 3
CeDyS3 | PBE | optimized geometry

POSCAR file:
```
CeDyS3
1.0
3.982 0.000 0.000
0.000 7.386 0.000
0.000 0.000 15.285
Dy S Ce
4 12 4
direct
0.250 0.266 0.044
0.250 0.766 0.456
0.750 0.234 0.544
0.750 0.734 0.956
0.250 0.875 0.064
0.750 0.489 0.105
0.750 0.989 0.395
0.750 0.851 0.782
0.750 0.351 0.718
0.250 0.149 0.218
0.250 0.649 0.282
0.250 0.011 0.605
0.250 0.375 0.436
0.750 0.125 0.936
0.750 0.625 0.564
0.250 0.511 0.895
0.250 0.640 0.703
0.250 0.140 0.797
0.750 0.360 0.297
0.750 0.860 0.203
```

calculated total energy	-6.64	eV per atom
SG	Pnma
formation energy from raw total energies	-2.053	eV/atom

***

Record 4
Ce6DyS8 | PBE | optimized geometry

POSCAR file:
```
Ce6DyS8
1.0
-1.819 6.117 -4.875
-7.105 3.685 0.660
-0.391 7.475 2.910
Ce S Dy
6 8 1
direct
0.000 0.500 0.000
0.000 0.000 0.500
0.500 0.000 0.500
0.500 0.500 0.000
0.500 0.000 0.000
0.000 0.500 0.500
0.244 0.244 0.756
0.244 0.756 0.756
0.756 0.244 0.756
0.756 0.756 0.244
0.750 0.750 0.750
0.756 0.244 0.244
0.244 0.756 0.244
0.250 0.250 0.250
0.000 0.000 0.000
```

calculated total energy	-6.92	eV per atom
SG	Fm-3m
formation energy from raw total energies	-2.034	eV/atom

***

Record 5
CeDyScS3 | PBE | optimized geometry

POSCAR file:
```
CeDyScS3
1.0
-3.192 1.533 1.318
3.026 -0.268 7.644
3.107 8.462 -2.319
S Sc Ce Dy
6 2 2 2
direct
0.750 0.412 0.161
0.250 0.813 0.570
0.250 0.588 0.839
0.250 0.117 0.871
0.750 0.187 0.430
0.750 0.883 0.129
0.750 0.870 0.406
0.250 0.130 0.594
0.250 0.149 0.185
0.750 0.851 0.815
0.750 0.358 0.869
0.250 0.642 0.131
```

calculated total energy	-6.63	eV per atom
SG	P2_1/m
formation energy from raw total energies	-1.757	eV/atom

***

Record 6
CeDySc2S4 | PBE | optimized geometry

POSCAR file:
```
CeDySc2S4
1.0
-1.731 -3.376 0.255
2.562 -0.852 6.105
-4.191 2.487 4.479
Sc S Dy Ce
2 4 1 1
direct
0.000 0.000 0.000
0.500 0.000 0.500
0.000 0.227 0.263
0.500 0.231 0.752
0.500 0.769 0.248
0.000 0.773 0.737
0.000 0.500 0.500
0.500 0.500 0.000
```

calculated total energy	-6.90	eV per atom
SG	P2/m
formation energy from raw total energies	-1.932	eV/atom